# NiAg2Se PBE relaxed
# Mass density in g cm⁻³: 8.7
# Formation energy without anion corrections in eV per atom: 0.282
data_NiAg2Se
_chemical_formula_sum 'Ni4 Ag8 Se4'
_space_group_name_H-M_alt 'F -4 3 m'
_space_group_IT_number 216
_space_group_name_Hall 'F -4 2 3'
_cell_length_a 6.473
_cell_length_b 6.473
_cell_length_c 6.473
_cell_angle_alpha 90.00
_cell_angle_beta 90.00
_cell_angle_gamma 90.00
loop_
_atom_site_label
_atom_site_fract_x
_atom_site_fract_y
_atom_site_fract_z
Ni1 0.000 0.000 0.000
Ag1 0.000 0.000 0.500
Ag2 0.250 0.250 0.250
Se1 0.250 0.250 0.750

# NiAg2Se PBE relaxed
# Mass density in g cm⁻³: 8.0
# Formation energy without anion corrections in eV per atom: 0.084
data_NiAg2Se
_chemical_formula_sum 'Ni2 Ag4 Se2'
_space_group_name_H-M_alt 'I m m 2'
_space_group_IT_number 44
_space_group_name_Hall 'I 2 -2'
_cell_length_a 3.007
_cell_length_b 4.477
_cell_length_c 10.847
_cell_angle_alpha 90.00
_cell_angle_beta 90.00
_cell_angle_gamma 90.00
loop_
_atom_site_label
_atom_site_fract_x
_atom_site_fract_y
_atom_site_fract_z
Ni1 0.000 0.000 0.000
Ag1 0.000 0.000 0.544
Ag2 0.000 0.500 0.711
Se1 0.000 0.500 0.341

# NiAg2Se PBE relaxed
# Mass density in g cm⁻³: 8.6
# Formation energy without anion corrections in eV per atom: 0.318
data_NiAg2Se
_chemical_formula_sum 'Ni2 Ag4 Se2'
_space_group_name_H-M_alt 'C m m m'
_space_group_IT_number 65
_space_group_name_Hall '-C 2 2'
_cell_length_a 5.415
_cell_length_b 8.877
_cell_length_c 2.832
_cell_angle_alpha 90.00
_cell_angle_beta 90.00
_cell_angle_gamma 90.00
loop_
_atom_site_label
_atom_site_fract_x
_atom_site_fract_y
_atom_site_fract_z
Ni1 0.000 0.000 0.000
Ag1 0.250 0.250 0.500
Se1 0.000 0.500 0.000

# Ni2AgSe PBE relaxed
# Energy above the lowest structure with this stoichiometry in eV per atom: 0.0285
# Mass density in g cm⁻³: 8.2
# Formation energy without anion corrections in eV per atom: 0.140
data_Ni2AgSe
_chemical_formula_sum 'Ni4 Ag2 Se2'
_space_group_name_H-M_alt 'C 1 m 1'
_space_group_IT_number 8
_space_group_name_Hall 'C -2y'
_cell_length_a 8.230
_cell_length_b 3.218
_cell_length_c 4.788
_cell_angle_alpha 90.00
_cell_angle_beta 102.34
_cell_angle_gamma 90.00
loop_
_atom_site_label
_atom_site_fract_x
_atom_site_fract_y
_atom_site_fract_z
Ni1 0.000 0.000 0.000
Ni2 0.235 0.500 0.199
Ag1 0.495 0.000 0.491
Se1 0.278 0.000 0.878

# Ni2AgSe PBE relaxed
# Energy above the lowest structure with this stoichiometry in eV per atom: 0.1196
# Mass density in g cm⁻³: 8.1
# Formation energy without anion corrections in eV per atom: 0.231
data_Ni2AgSe
_chemical_formula_sum 'Ni6 Ag3 Se3'
_space_group_name_H-M_alt 'R 3 m'
_space_group_IT_number 160
_space_group_name_Hall 'R 3 -2"'
_cell_length_a 2.9388
_cell_length_b 2.9388
_cell_length_c 24.8612
_cell_angle_alpha 90.00
_cell_angle_beta 90.00
_cell_angle_gamma 120.00
loop_
_atom_site_label
_atom_site_fract_x
_atom_site_fract_y
_atom_site_fract_z
Ni1 0.0000 0.0000 0.0000
Ni2 0.0000 0.0000 0.2612
Ag1 0.0000 0.0000 0.7519
Se1 0.0000 0.0000 0.5289

# NiAg2Se PBE relaxed
# Mass density in g cm⁻³: 8.5
# Formation energy without anion corrections in eV per atom: 0.314
data_NiAg2Se
_chemical_formula_sum 'Ni3 Ag6 Se3'
_space_group_name_H-M_alt 'R -3 m'
_space_group_IT_number 166
_space_group_name_Hall '-R 3 2"'
_cell_length_a 2.8560
_cell_length_b 2.8560
_cell_length_c 29.3019
_cell_angle_alpha 90.00
_cell_angle_beta 90.00
_cell_angle_gamma 120.00
loop_
_atom_site_label
_atom_site_fract_x
_atom_site_fract_y
_atom_site_fract_z
Ni1 0.0000 0.0000 0.0000
Ag1 0.0000 0.0000 0.2603
Se1 0.0000 0.0000 0.5000

# NiAgSe3 PBE relaxed
# Energy above the lowest structure with this stoichiometry in eV per atom: 0.5130
# Mass density in g cm⁻³: 6.2
# Formation energy without anion corrections in eV per atom: 0.370
data_NiAgSe3
_chemical_formula_sum 'Ni1 Ag1 Se3'
_space_group_name_H-M_alt 'P m -3 m'
_space_group_IT_number 221
_space_group_name_Hall '-P 4 2 3'
_cell_length_a 4.751
_cell_length_b 4.751
_cell_length_c 4.751
_cell_angle_alpha 90.00
_cell_angle_beta 90.00
_cell_angle_gamma 90.00
loop_
_atom_site_label
_atom_site_fract_x
_atom_site_fract_y
_atom_site_fract_z
Ni1 0.000 0.000 0.000
Ag1 0.500 0.500 0.500
Se1 0.000 0.000 0.500

# Ni2AgSe PBE relaxed
# Energy above the lowest structure with this stoichiometry in eV per atom: 0.0000
# Mass density in g cm⁻³: 8.3
# Formation energy without anion corrections in eV per atom: 0.111
data_Ni2AgSe
_chemical_formula_sum 'Ni2 Ag1 Se1'
_space_group_name_H-M_alt 'P 4 m m'
_space_group_IT_number 99
_space_group_name_Hall 'P 4 -2'
_cell_length_a 3.145
_cell_length_b 3.145
_cell_length_c 6.181
_cell_angle_alpha 90.00
_cell_angle_beta 90.00
_cell_angle_gamma 90.00
loop_
_atom_site_label
_atom_site_fract_x
_atom_site_fract_y
_atom_site_fract_z
Ni1 0.000 0.000 0.000
Ni2 0.500 0.500 0.210
Ag1 0.500 0.500 0.753
Se1 0.000 0.000 0.374